Crystalline SiOs2Pb at its relaxed geometry. Source: Alexandria, functional PBE.

Structure (POSCAR):
```
SiOs2Pb
1.0
1.523 -2.522 0.000
1.523 2.522 0.000
0.000 0.000 8.955
Si Os Pb
1 2 1
Direct
0.000 0.000 0.000 Si
0.500 0.500 0.202 Os
0.500 0.500 0.798 Os
0.000 0.000 0.500 Pb
```

SG	Cmmm
energy relative to the lowest polymorph listed for this composition	281	meV/atom

Crystalline Cs3RbCd2 at its relaxed geometry. Source: Alexandria, functional PBE.

Structure (POSCAR):
```
Cs3RbCd2
1.0
11.572 -2.668 0.000
11.572 2.668 0.000
-8.139 0.000 13.502
Cs Rb Cd
6 2 4
Direct
0.084 0.084 0.432 Cs
0.084 0.084 0.943 Cs
0.336 0.336 0.257 Cs
0.664 0.664 0.743 Cs
0.916 0.916 0.057 Cs
0.916 0.916 0.568 Cs
0.334 0.334 0.749 Rb
0.666 0.666 0.251 Rb
0.263 0.263 0.465 Cd
0.263 0.263 0.965 Cd
0.737 0.737 0.035 Cd
0.737 0.737 0.535 Cd
```

ΔH_f (0 K)	-47.9	meV per atom
SG	C2/m